a | This record from the Alexandria database describes Li4Ga3Pd after structural relaxation. The functional is PBE.

CIF file:
```
data_Li4Ga3Pd
_chemical_formula_sum 'Li8 Ga6 Pd2'
_cell_length_a 4.3772
_cell_length_b 4.3985
_cell_length_c 12.3883
_cell_angle_alpha 90.00
_cell_angle_beta 90.00
_cell_angle_gamma 90.00
_space_group_name_H-M_alt 'I m m m'
_space_group_IT_number 71
_space_group_name_Hall '-I 2 2'
loop_
_atom_site_label
_atom_site_fract_x
_atom_site_fract_y
_atom_site_fract_z
Li1 0.0000 0.0000 0.1230
Li2 0.0000 0.5000 0.2530
Ga1 0.0000 0.0000 0.3746
Ga2 0.0000 0.5000 0.0000
Pd1 0.0000 0.5000 0.5000
```

=====

b | This record from the Alexandria database describes Li4Ga3Pd after structural relaxation. The functional is PBE.

CIF file:
```
data_Li4Ga3Pd
_chemical_formula_sum 'Li4 Ga3 Pd1'
_cell_length_a 4.3064
_cell_length_b 2.7411
_cell_length_c 11.4985
_cell_angle_alpha 90.00
_cell_angle_beta 100.59
_cell_angle_gamma 90.00
_space_group_name_H-M_alt 'P 1 2/m 1'
_space_group_IT_number 10
loop_
_space_group_symop_operation_xyz
'x,y,z'
'-x,-y,-z'
'-x,y,-z'
'x,-y,z'
loop_
_atom_site_label
_atom_site_fract_x
_atom_site_fract_y
_atom_site_fract_z
Li1 0.1010 0.0000 0.2003
Li2 0.2164 0.0000 0.4326
Ga1 0.3361 0.5000 0.6709
Ga2 0.5000 0.0000 0.0000
Pd1 0.0000 0.5000 0.0000
```

=====

Tell me which of them is the least stable. Sure, it is b.

=====

a | This record from the Alexandria database describes Li2GaPd4 after structural relaxation. The functional is PBE.

CIF file:
```
data_Li2GaPd4
_chemical_formula_sum 'Li4 Ga2 Pd8'
_cell_length_a 4.6141
_cell_length_b 4.6141
_cell_length_c 12.6610
_cell_angle_alpha 90.00
_cell_angle_beta 90.00
_cell_angle_gamma 90.00
_space_group_name_H-M_alt 'I 4/m m m'
_space_group_IT_number 139
_space_group_name_Hall '-I 4 2'
loop_
_atom_site_label
_atom_site_fract_x
_atom_site_fract_y
_atom_site_fract_z
Li1 0.0000 0.0000 0.1158
Ga1 0.0000 0.0000 0.5000
Pd1 0.0000 0.0000 0.3128
Pd2 0.0000 0.5000 0.0000
```

=====

b | This record from the Alexandria database describes Li2GaPd4 after structural relaxation. The functional is PBE.

CIF file:
```
data_Li2GaPd4
_chemical_formula_sum 'Li4 Ga2 Pd8'
_cell_length_a 5.9310
_cell_length_b 5.9310
_cell_length_c 5.9041
_cell_angle_alpha 90.00
_cell_angle_beta 90.00
_cell_angle_gamma 90.00
_space_group_name_H-M_alt 'I 4/m m m'
_space_group_IT_number 139
_space_group_name_Hall '-I 4 2'
loop_
_atom_site_label
_atom_site_fract_x
_atom_site_fract_y
_atom_site_fract_z
Li1 0.0000 0.5000 0.0000
Ga1 0.0000 0.0000 0.0000
Pd1 0.2500 0.2500 0.2500
```

=====

c | This record from the Alexandria database describes Li2GaPd4 after structural relaxation. The functional is PBE.

CIF file:
```
data_Li2GaPd4
_chemical_formula_sum 'Li4 Ga2 Pd8'
_cell_length_a 4.5016
_cell_length_b 9.8290
_cell_length_c 4.4801
_cell_angle_alpha 90.00
_cell_angle_beta 90.00
_cell_angle_gamma 90.00
_space_group_name_H-M_alt 'C m m m'
_space_group_IT_number 65
_space_group_name_Hall '-C 2 2'
loop_
_atom_site_label
_atom_site_fract_x
_atom_site_fract_y
_atom_site_fract_z
Li1 0.0000 0.1029 0.0000
Ga1 0.0000 0.5000 0.5000
Pd1 0.0000 0.1601 0.5000
Pd2 0.0000 0.3554 0.0000
```

=====

Tell me which of them is the least stable. Sure, it is a.

=====

a | This record from the Alexandria database describes Li3Ga6Pd2 after structural relaxation. The functional is PBE.

CIF file:
```
data_Li3Ga6Pd2
_chemical_formula_sum 'Li3 Ga6 Pd2'
_cell_length_a 5.0448
_cell_length_b 5.0503
_cell_length_c 8.1744
_cell_angle_alpha 89.90
_cell_angle_beta 89.84
_cell_angle_gamma 61.77
_space_group_name_H-M_alt 'P -1'
_space_group_IT_number 2
loop_
_space_group_symop_operation_xyz
'x,y,z'
'-x,-y,-z'
loop_
_atom_site_label
_atom_site_fract_x
_atom_site_fract_y
_atom_site_fract_z
Li1 0.0000 0.0000 0.0000
Li2 0.0134 0.9883 0.6617
Ga1 0.0105 0.4907 0.8287
Ga2 0.3256 0.3254 0.5003
Ga3 0.4900 0.0102 0.1686
Pd1 0.4889 0.5104 0.2328
```

=====

b | This record from the Alexandria database describes Li3Ga6Pd2 after structural relaxation. The functional is PBE.

CIF file:
```
data_Li3Ga6Pd2
_chemical_formula_sum 'Li6 Ga12 Pd4'
_cell_length_a 3.7988
_cell_length_b 3.7988
_cell_length_c 27.1494
_cell_angle_alpha 90.00
_cell_angle_beta 90.00
_cell_angle_gamma 90.00
_space_group_name_H-M_alt 'I 4/m m m'
_space_group_IT_number 139
_space_group_name_Hall '-I 4 2'
loop_
_atom_site_label
_atom_site_fract_x
_atom_site_fract_y
_atom_site_fract_z
Li1 0.0000 0.0000 0.0000
Li2 0.0000 0.0000 0.1658
Ga1 0.0000 0.0000 0.2704
Ga2 0.0000 0.5000 0.0714
Pd1 0.0000 0.0000 0.3627
```

=====

Tell me which of them is the least stable. Sure, it is b.